# 1
The following is a DFT calculation (GGA-PBE) of a geometry-optimized SbPtS structure.

Geometry as extended XYZ:
```
12
Lattice="6.273 0.000 0.000 0.000 6.273 0.000 0.000 0.000 6.273" Properties=species:S:1:pos:R:3 pbc="T T T"
Sb 0.772 2.365 3.908
Sb 2.365 3.908 0.772
Sb 3.908 0.772 2.365
Sb 5.501 5.501 5.501
Pt 0.059 6.214 3.077
Pt 3.077 0.059 6.214
Pt 3.196 3.196 3.196
Pt 6.214 3.077 0.059
S 0.703 0.703 0.703
S 2.433 5.570 3.840
S 3.840 2.433 5.570
S 5.570 3.840 2.433
```

Properties
Magnetization   0.000 μB per atom
SG   No. 198
Uncorrected energy   -62.08 eV per cell
ΔE_f (raw)   -410 meV per atom
DOS at the Fermi energy   2.7 states/eV per cell

---

# 2
The following is a DFT calculation (GGA-PBE) of a geometry-optimized CsCdAu2 structure.

Geometry as extended XYZ:
```
12
Lattice="4.916 0.000 0.000 -2.458 4.258 0.000 0.000 0.000 19.154" Properties=species:S:1:pos:R:3 pbc="T T T"
Cs 0.000 0.000 0.000
Cs 0.000 2.838 12.770
Cs 2.458 1.419 6.385
Cd 0.000 0.000 9.577
Cd 0.000 2.838 3.192
Cd 2.458 1.419 15.962
Au 0.000 0.000 3.491
Au 0.000 0.000 15.663
Au 0.000 2.838 9.279
Au 0.000 2.838 16.261
Au 2.458 1.419 2.894
Au 2.458 1.419 9.876
```

Properties
Magnetization   0.000 μB per atom
SG   No. 166
Uncorrected energy   -28.36 eV per cell
Formation energy from the elements   -1.129 eV/f.u.
DOS at the Fermi energy   5.1 states/eV per cell

---

# 3
The following is a DFT calculation (GGA-PBE) of a geometry-optimized MnSb4S6 structure.

Geometry as extended XYZ:
```
22
Lattice="9.036 -3.424 0.000 9.036 3.424 0.000 -7.316 0.000 10.315" Properties=species:S:1:pos:R:3 pbc="T T T"
Mn 5.379 1.818 5.157
Mn 9.036 -1.818 0.000
Sb 4.697 1.655 2.649
Sb 3.115 1.741 8.149
Sb 9.966 1.310 1.575
Sb 1.039 -1.655 7.806
Sb 6.772 -1.741 2.992
Sb 7.195 0.174 9.959
Sb 6.308 -1.310 6.732
Sb 10.853 -0.174 4.801
S 6.858 2.667 1.536
S -2.062 0.199 5.063
S -5.719 -0.199 10.221
S 3.130 1.137 4.867
S 5.501 1.524 7.548
S -0.528 -1.137 10.025
S 7.049 0.140 4.878
S 3.391 -0.140 10.036
S 12.103 0.936 2.946
S 9.159 -1.524 2.391
S 3.201 -2.667 6.694
S 8.445 -0.936 8.104
```

Properties
Magnetization   0.272 μB per atom
SG   No. 9
Uncorrected energy   -104.79 eV per cell
ΔE_f (raw)   -179 meV per atom